YScCl2 PBE-GGA relaxed; offset from the most stable computed form = 0.337 eV/atom; density = 3.65 g/cm3; raw formation energy = -4.4 eV per formula unit
1.0
5.711 -0.011 0.003
1.316 5.557 -0.003
-2.279 -4.337 2.934
Cl Sc Y
2 1 1
direct
0.989 0.989 0.000
0.511 0.511 0.000
0.750 0.250 0.500
0.250 0.750 0.500